# 1
This record from the Alexandria database describes an optimized crystal structure of MgNiCS. The functional is PBE-GGA.

abc: 4.008 4.008 4.713
angles: 103.49 103.49 48.70
Atoms (fractional coordinates):
Mg 0.000 0.000 0.000
Ni 0.763 0.763 0.350
C 0.361 0.361 0.247
S 0.549 0.549 0.596

Results
E_form (uncorrected) = 0.1619 eV/atom
N(E_F) = 1.6 states/eV per cell
Density = 3.8 g/cm³
Space group = Cm, No. 8
Energy relative to the lowest polymorph listed for this composition = 42 meV/atom

# 2
This record from the Alexandria database describes an optimized crystal structure of MgNiCS. The functional is PBE-GGA.

abc: 3.261 4.310 4.754
angles: 69.06 69.98 89.85
Atoms (fractional coordinates):
Mg 0.000 0.000 0.000
Ni 0.312 0.193 0.375
C 0.729 0.990 0.543
S 0.563 0.592 0.876

Results
E_form (uncorrected) = 0.2127 eV/atom
N(E_F) = 1.2 states/eV per cell
Density = 3.6 g/cm³
Space group = P1, No. 1
Energy relative to the lowest polymorph listed for this composition = 93 meV/atom

# 3
This record from the Alexandria database describes an optimized crystal structure of MgNiCS. The functional is PBE-GGA.

abc: 4.214 3.112 4.215
angles: 90.00 94.34 90.00
Atoms (fractional coordinates):
Mg 0.000 0.000 0.000
Ni 0.381 0.000 0.544
C 0.114 0.500 0.640
S 0.733 0.500 0.399

Results
E_form (uncorrected) = 0.1702 eV/atom
N(E_F) = 0.6 states/eV per cell
Density = 3.8 g/cm³
Space group = Pm, No. 6
Energy relative to the lowest polymorph listed for this composition = 51 meV/atom

# 4
This record from the Alexandria database describes an optimized crystal structure of MgNiCS. The functional is PBE-GGA.

abc: 3.558 3.690 4.608
angles: 90.00 90.52 90.00
Atoms (fractional coordinates):
Mg 0.000 0.000 0.000
Ni 0.496 0.000 0.567
C 0.995 0.000 0.477
S 0.498 0.500 0.858

Results
E_form (uncorrected) = 0.2200 eV/atom
N(E_F) = 1.1 states/eV per cell
Density = 3.5 g/cm³
Space group = Pm, No. 6
Energy relative to the lowest polymorph listed for this composition = 101 meV/atom